# SrLiCa3 | Alexandria via LeMat-Bulk | GGA-PBE | optimized geometry
# Energy (eV per cell): -36.41
# Excess energy over the best structure of this formula in the dataset (eV/atom): 0.000
data_SrLiCa3
_symmetry_space_group_name_H-M 'P 1 2/c 1'
_symmetry_Int_Tables_number 13
_symmetry_space_group_name_Hall '-P 2yc'
_cell_length_a 7.0400
_cell_length_b 7.5513
_cell_length_c 15.7553
_cell_angle_alpha 90.00
_cell_angle_beta 102.12
_cell_angle_gamma 90.00
loop_
_atom_site_label
_atom_site_fract_x
_atom_site_fract_y
_atom_site_fract_z
Sr1 0.2333 0.0514 0.1845
Li1 0.4824 0.3978 0.0960
Ca1 0.1426 0.3102 0.4762
Ca2 0.2269 0.4427 0.7195
Ca3 0.3070 0.1687 0.9233